Record 1
A plane-wave DFT calculation with PBE was carried out for LaMoN4 after structural relaxation.

Unit cell a=5.504 b=5.504 c=7.210 alpha=112.44 beta=112.44 gamma=90.00
Each line ends with the local moment (μB).
Fractional coordinates of all 12 atoms:
1 La 0.000 0.000 0.000  0.05
2 La 0.750 0.250 0.500  0.05
3 Mo 0.500 0.500 0.000  -0.25
4 Mo 0.250 0.750 0.500  -0.25
5 N 0.019 0.911 0.332  0.56
6 N 0.171 0.269 0.832  0.56
7 N 0.661 0.562 0.832  0.56
8 N 0.312 0.421 0.332  0.56
9 N 0.438 0.829 0.168  0.56
10 N 0.089 0.688 0.668  0.56
11 N 0.579 0.981 0.668  0.56
12 N 0.731 0.339 0.168  0.56

- Raw formation energy: 0.0234 eV/atom
- N(E_F): 5.5 states/eV per cell
- Total DFT energy (no corrections): -8.1533 eV/atom

=====

Record 2
A plane-wave DFT calculation with PBE was carried out for LaMoN2 after structural relaxation.

Unit cell a=4.166 b=4.166 c=4.166 alpha=60.00 beta=60.00 gamma=60.00
Each line ends with the local moment (μB).
Fractional coordinates of all 4 atoms:
1 Mo 0.000 0.000 0.000  0.93
2 N 0.250 0.250 0.250  -0.04
3 N 0.750 0.750 0.750  -0.04
4 La 0.500 0.500 0.500  0.07

- Raw formation energy: 0.0241 eV/atom
- N(E_F): 1.2 states/eV per cell
- Total DFT energy (no corrections): -8.0782 eV/atom

=====

Record 3
A plane-wave DFT calculation with PBE was carried out for La2Mo3N8 after structural relaxation.

Unit cell a=5.150 b=6.497 c=6.789 alpha=118.59 beta=108.92 gamma=90.00
Fractional coordinates of all 13 atoms:
1 La 0.343 0.268 0.537
2 La 0.657 0.732 0.463
3 Mo 0.500 0.000 0.000
4 Mo 0.000 0.279 0.000
5 Mo 0.000 0.721 0.000
6 N 0.948 0.599 0.199
7 N 0.052 0.401 0.801
8 N 0.903 0.102 0.204
9 N 0.097 0.898 0.796
10 N 0.608 0.683 0.794
11 N 0.608 0.110 0.794
12 N 0.392 0.890 0.206
13 N 0.392 0.317 0.206

- Raw formation energy: -0.5360 eV/atom
- N(E_F): 0.1 states/eV per cell
- Total DFT energy (no corrections): -8.9168 eV/atom

=====

Number 1: V 183.9 Å³/cell. Number 2: V 51.1 Å³/cell. Number 3: V 185.3 Å³/cell.